1.
# Mg13Au41 (PBE, relaxed)
data_Mg13Au41
_symmetry_space_group_name_H-M 'P 63/m c m'
_symmetry_Int_Tables_number 193
_symmetry_space_group_name_Hall '-P 6c 2'
_cell_length_a 15.0675
_cell_length_b 15.0675
_cell_length_c 9.5190
_cell_angle_alpha 90.00
_cell_angle_beta 90.00
_cell_angle_gamma 120.00
loop_
_atom_site_label
_atom_site_type_symbol
_atom_site_fract_x
_atom_site_fract_y
_atom_site_fract_z
_atom_site_occupancy
Mg1 Mg 0.0000 0.0000 0.0000 1
Mg2 Mg 0.0000 0.2241 0.2500 1
Mg3 Mg 0.0000 0.4455 0.7500 1
Mg4 Mg 0.2231 0.4462 0.0000 1
Au1 Au 0.0000 0.1096 0.7500 1
Au2 Au 0.0000 0.3320 0.5011 1
Au3 Au 0.1104 0.4438 0.2500 1
Au4 Au 0.1100 0.5550 0.0000 1
Au5 Au 0.1108 0.2215 0.0000 1
Au6 Au 0.1119 0.3328 0.7500 1
Au7 Au 0.2210 0.5517 0.7500 1
Au8 Au 0.3333 0.6667 0.0000 1
# Calculated total energy   -350.70 eV for the cell shown

---

2.
# NiBPbAu (PBE, relaxed)
data_NiBPbAu
_symmetry_space_group_name_H-M 'F -4 3 m'
_symmetry_Int_Tables_number 216
_symmetry_space_group_name_Hall 'F -4 2 3'
_cell_length_a 6.3537
_cell_length_b 6.3537
_cell_length_c 6.3537
_cell_angle_alpha 90.00
_cell_angle_beta 90.00
_cell_angle_gamma 90.00
loop_
_atom_site_label
_atom_site_type_symbol
_atom_site_fract_x
_atom_site_fract_y
_atom_site_fract_z
_atom_site_occupancy
Ni1 Ni 0.0000 0.0000 0.0000 1
B1 B 0.0000 0.0000 0.5000 1
Pb1 Pb 0.2500 0.2500 0.2500 1
Au1 Au 0.2500 0.2500 0.7500 1
# Polymorph energy (0 for the lowest one)   0 meV/atom

---

3.
# YCuTcSn (PBE, relaxed)
data_YCuTcSn
_symmetry_space_group_name_H-M 'F -4 3 m'
_symmetry_Int_Tables_number 216
_symmetry_space_group_name_Hall 'F -4 2 3'
_cell_length_a 6.6694
_cell_length_b 6.6694
_cell_length_c 6.6694
_cell_angle_alpha 90.00
_cell_angle_beta 90.00
_cell_angle_gamma 90.00
loop_
_atom_site_label
_atom_site_type_symbol
_atom_site_fract_x
_atom_site_fract_y
_atom_site_fract_z
_atom_site_occupancy
Y1 Y 0.0000 0.0000 0.0000 1
Cu1 Cu 0.2500 0.2500 0.7500 1
Tc1 Tc 0.2500 0.2500 0.2500 1
Sn1 Sn 0.0000 0.0000 0.5000 1
# Polymorph energy (0 for the lowest one)   0 meV/atom